w | ## CsZrSc (GGA-PBE)

Data for a geometry-optimized CsZrSc structure.

abc: 14.4975 6.0608 5.2639
angles: 90.00 90.00 90.00
Space group Pnma (No. 62)
Inequivalent atoms, fractional coordinates:
Cs  0.2465  0.2500  0.0329 (multiplicity 4)
Zr  0.0082  0.7500  0.4991 (multiplicity 4)
Sc  0.0000  0.0000  0.0000 (multiplicity 4)

## Properties
* Fermi-level density of states: 1.594 states/eV/atom
* calculated density: 3.86 g/cm³

***

x | ## CsZrSc (GGA-PBE)

Data for a geometry-optimized CsZrSc structure.

abc: 5.0176 7.0647 14.3114
angles: 90.00 90.00 90.00
Space group Pnma (No. 62)
Inequivalent atoms, fractional coordinates:
Cs  0.0036  0.2500  0.1375 (multiplicity 4)
Zr  0.0135  0.2500  0.7891 (multiplicity 4)
Sc  0.0125  0.2500  0.5891 (multiplicity 4)

## Properties
* Fermi-level density of states: 1.328 states/eV/atom
* calculated density: 3.52 g/cm³

***

The most stable of them is w.